[1]
The following is a PBE calculation of an optimized crystal structure of Sr2HgClO3, from Alexandria via LeMat-Bulk.

crystal system = trigonal
raw formation energy = -1.60 eV/atom
raw total energy = -4.5101 eV/atom

```
Sr2HgClO3
1.0
3.6054 2.0816 6.5212
-3.6054 2.0816 6.5212
0.0000 -4.1632 6.5212
Sr Hg Cl O
4 2 2 6
direct
0.0000 0.0000 0.0000 Sr
0.0000 0.0000 0.5000 Sr
0.0000 0.5000 0.0000 Sr
0.5000 0.0000 0.0000 Sr
0.4183 0.4183 0.4183 Hg
0.5817 0.5817 0.5817 Hg
0.2684 0.2684 0.2684 Cl
0.7316 0.7316 0.7316 Cl
0.2175 0.7513 0.7513 O
0.2487 0.2487 0.7825 O
0.2487 0.7825 0.2487 O
0.7513 0.2175 0.7513 O
0.7513 0.7513 0.2175 O
0.7825 0.2487 0.2487 O
```

[2]
The following is a PBE calculation of an optimized crystal structure of Ce3Er5N8, from Alexandria via LeMat-Bulk.

crystal system = trigonal
raw formation energy = -1.66 eV/atom
raw total energy = -8.3577 eV/atom

```
Ce3Er5N8
1.0
3.4794 2.0088 5.6873
-3.4794 2.0088 5.6873
0.0000 -4.0176 5.6873
Ce Er N
3 5 8
direct
0.0000 0.5000 0.5000 Ce
0.5000 0.0000 0.5000 Ce
0.5000 0.5000 0.0000 Ce
0.0000 0.0000 0.0000 Er
0.0000 0.0000 0.5000 Er
0.0000 0.5000 0.0000 Er
0.5000 0.0000 0.0000 Er
0.5000 0.5000 0.5000 Er
0.2476 0.2476 0.2476 N
0.2481 0.7499 0.7499 N
0.2501 0.2501 0.7519 N
0.2501 0.7519 0.2501 N
0.7499 0.2481 0.7499 N
0.7499 0.7499 0.2481 N
0.7519 0.2501 0.2501 N
0.7524 0.7524 0.7524 N
```

[3]
The following is a PBE calculation of an optimized crystal structure of CdAgOs2, from Alexandria via LeMat-Bulk.

crystal system = orthorhombic
raw total energy = -5.6884 eV/atom

```
CdAgOs2
1.0
2.7140 0.0000 0.0000
0.0000 4.5724 0.0000
0.0000 0.0000 5.4100
Cd Ag Os
1 1 2
direct
0.0000 0.0000 0.0000 Cd
0.0000 0.0000 0.5000 Ag
0.5000 0.5000 0.2735 Os
0.5000 0.5000 0.7265 Os
```

[4]
The following is a PBE calculation of an optimized crystal structure of TbTmSb, from Alexandria via LeMat-Bulk.

crystal system = tetragonal
raw formation energy = -0.62 eV/atom
raw total energy = -5.0249 eV/atom

```
TbTmSb
1.0
-1.9743 1.9743 5.3205
1.9743 -1.9743 5.3205
1.9743 1.9743 -5.3205
Tb Tm Sb
1 1 1
direct
0.0000 0.0000 0.0000 Tb
0.3086 0.3086 0.0000 Tm
0.6592 0.6592 0.0000 Sb
```

[5]
The following is a PBE calculation of an optimized crystal structure of FeAs2N, from Alexandria via LeMat-Bulk.

crystal system = tetragonal
raw formation energy = 0.50 eV/atom
raw total energy = -6.0214 eV/atom

```
FeAs2N
1.0
-2.5682 2.5682 4.6349
2.5682 -2.5682 4.6349
2.5682 2.5682 -4.6349
Fe As N
2 4 2
direct
0.0000 0.0000 0.0000 Fe
0.7500 0.2500 0.5000 Fe
0.1526 0.6250 0.0276 As
0.3750 0.4026 0.5276 As
0.5974 0.1250 0.9724 As
0.8750 0.8474 0.4724 As
0.2500 0.7500 0.5000 N
0.5000 0.5000 0.0000 N
```

[6]
The following is a PBE calculation of an optimized crystal structure of LaCu2Pt, from Alexandria via LeMat-Bulk.

crystal system = trigonal
raw total energy = -4.5143 eV/atom
energy relative to the lowest polymorph listed for this composition = 796 meV/atom

```
LaCu2Pt
1.0
1.4982 0.8650 9.2626
-1.4982 0.8650 9.2626
0.0000 -1.7300 9.2626
La Cu Pt
1 2 1
direct
0.0000 0.0000 0.0000 La
0.2385 0.2385 0.2385 Cu
0.7615 0.7615 0.7615 Cu
0.5000 0.5000 0.5000 Pt
```

[7]
The following is a PBE calculation of an optimized crystal structure of ErTm2Si3Pt4, from Alexandria via LeMat-Bulk.

crystal system = tetragonal
raw formation energy = -1.04 eV/atom
raw total energy = -6.4386 eV/atom

```
ErTm2Si3Pt4
1.0
4.1173 0.0000 0.0000
0.0000 4.1173 0.0000
0.0000 0.0000 11.0899
Er Tm Si Pt
1 2 3 4
direct
0.0000 0.0000 0.0000 Er
0.0000 0.5000 0.7240 Tm
0.5000 0.0000 0.2760 Tm
0.0000 0.5000 0.3751 Si
0.5000 0.0000 0.6249 Si
0.5000 0.5000 0.0000 Si
0.0000 0.0000 0.5000 Pt
0.0000 0.5000 0.1631 Pt
0.5000 0.0000 0.8369 Pt
0.5000 0.5000 0.5000 Pt
```

[8]
The following is a PBE calculation of an optimized crystal structure of CaGaAs2Se, from Alexandria via LeMat-Bulk.

crystal system = tetragonal
raw formation energy = -0.12 eV/atom
raw total energy = -3.6808 eV/atom
energy relative to the lowest polymorph listed for this composition = 0 meV/atom

```
CaGaAs2Se
1.0
4.9021 0.0000 0.0000
0.0000 4.9021 0.0000
0.0000 0.0000 5.2485
Ca Ga As Se
1 1 2 1
direct
0.0000 0.0000 0.0000 Ca
0.5000 0.5000 0.5000 Ga
0.0000 0.5000 0.5000 As
0.5000 0.0000 0.5000 As
0.5000 0.5000 0.0000 Se
```

[9]
The following is a PBE calculation of an optimized crystal structure of BeZnTe2, from Alexandria via LeMat-Bulk.

crystal system = trigonal
raw formation energy = -0.38 eV/atom
raw total energy = -3.1970 eV/atom
energy relative to the lowest polymorph listed for this composition = 31 meV/atom

```
BeZnTe2
1.0
4.1726 0.0000 0.0000
-2.0863 3.6136 0.0000
0.0000 0.0000 6.9096
Be Zn Te
1 1 2
direct
0.0000 0.0000 0.0000 Be
0.6667 0.3333 0.5050 Zn
0.0000 0.0000 0.3560 Te
0.6667 0.3333 0.8897 Te
```

[10]
The following is a PBE calculation of an optimized crystal structure of CeTh3Sn3, from Alexandria via LeMat-Bulk.

crystal system = hexagonal
raw total energy = -6.0906 eV/atom

```
CeTh3Sn3
1.0
9.2456 0.0000 0.0000
-4.6228 8.0069 0.0000
0.0000 0.0000 5.6780
Ce Th Sn
2 6 6
direct
0.3333 0.6667 0.2500 Ce
0.6667 0.3333 0.7500 Ce
0.0188 0.2469 0.2500 Th
0.2281 0.9812 0.2500 Th
0.2469 0.2281 0.7500 Th
0.7531 0.7719 0.2500 Th
0.7719 0.0188 0.7500 Th
0.9812 0.7531 0.7500 Th
0.0691 0.4492 0.7500 Sn
0.3801 0.9309 0.7500 Sn
0.4492 0.3801 0.2500 Sn
0.5508 0.6199 0.7500 Sn
0.6199 0.0691 0.2500 Sn
0.9309 0.5508 0.2500 Sn
```

[11]
The following is a PBE calculation of an optimized crystal structure of SiRu, from Alexandria via LeMat-Bulk.

crystal system = tetragonal
raw formation energy = -0.21 eV/atom
raw total energy = -7.5617 eV/atom

```
SiRu
1.0
-1.7577 1.7577 4.2791
1.7577 -1.7577 4.2791
1.7577 1.7577 -4.2791
Si Ru
2 2
direct
0.3750 0.6250 0.7500 Si
0.6250 0.3750 0.2500 Si
0.1250 0.8750 0.2500 Ru
0.8750 0.1250 0.7500 Ru
```

[12]
The following is a PBE calculation of an optimized crystal structure of Dy2CuSe, from Alexandria via LeMat-Bulk.

crystal system = orthorhombic
raw formation energy = -1.01 eV/atom
raw total energy = -5.2076 eV/atom
energy relative to the lowest polymorph listed for this composition = 0 meV/atom

```
Dy2CuSe
1.0
1.9964 -11.3846 0.0000
1.9964 11.3846 0.0000
0.0000 0.0000 4.0617
Dy Cu Se
4 2 2
direct
0.0662 0.9338 0.7500 Dy
0.3198 0.6802 0.7500 Dy
0.6802 0.3198 0.2500 Dy
0.9338 0.0662 0.2500 Dy
0.4620 0.5380 0.7500 Cu
0.5380 0.4620 0.2500 Cu
0.1932 0.8068 0.7500 Se
0.8068 0.1932 0.2500 Se
```